# GGA+U BeCrO2, relaxed
# **ρ**: 3.5 g cm⁻³
# **Raw total energy**: -6.96 eV/atom
# **Crystal system**: trigonal
data_BeCrO2
_space_group_name_H-M_alt 'R -3 m'
_space_group_IT_number 166
_space_group_name_Hall '-R 3 2"'
_cell_length_a 3.1814
_cell_length_b 3.1814
_cell_length_c 15.1643
_cell_angle_alpha 90.00
_cell_angle_beta 90.00
_cell_angle_gamma 120.00
loop_
_atom_site_label
_atom_site_fract_x
_atom_site_fract_y
_atom_site_fract_z
Be1 0.0000 0.0000 0.0000
Cr1 0.0000 0.0000 0.5000
O1 0.0000 0.0000 0.0963